Compound: Er2Ga2Tc
Source: Alexandria via LeMat-Bulk
Functional: PBE
Structure: optimized geometry

Geometry as POSCAR:
```
Er2Ga2Tc
1.0
-2.391 -3.436 4.027
0.075 -0.641 5.773
-8.590 3.677 6.248
Er Ga Tc
4 4 2
Cartesian
-6.502 1.138 7.362
-1.196 0.138 1.469
-4.405 -1.538 8.685
-9.710 -0.538 14.579
-5.888 -2.154 11.766
-1.857 -1.072 4.341
-5.019 1.754 4.282
-9.049 0.672 11.707
-3.893 -0.133 5.713
-7.013 -0.267 10.334
```

Values from the calculation:
The total energy is -5.5556 eV/atom. The density of states at the Fermi level comes out at 10.72 states/eV/cell. The calculation puts the energy relative to the elements at -447 meV/atom.